[1]
Entry from Alexandria via LeMat-Bulk: an optimized crystal structure of Cu3SiMo (PBE-GGA).

Values from the calculation:
polymorph energy (0 for the lowest one)	0.803	eV per atom
total moment	0.000	μB per cell
E	-4.010	eV per atom
E_form (uncorrected)	1.70	eV/atom

Unit cell a=4.6629 b=4.6629 c=4.6629 alpha=90.00 beta=90.00 gamma=90.00
Last column: nearest neighbours and their distance in Å.
Space group Pm-3m (No. 221)
Inequivalent atoms, fractional coordinates:
Cu 0.0000 0.0000 0.5000  2 Mo 2.33
Si 0.5000 0.5000 0.5000  12 Cu 3.30
Mo 0.0000 0.0000 0.0000  6 Cu 2.33



[2]
Entry from Alexandria via LeMat-Bulk: an optimized crystal structure of Zr2InCo (PBE-GGA).

Values from the calculation:
E_form	46	meV/atom
total moment	0.000	μB per cell
E	-6.689	eV per atom

Unit cell a=7.5279 b=7.5279 c=5.7948 alpha=90.00 beta=90.00 gamma=90.00
Last column: nearest neighbours and their distance in Å.
Space group I-42d (No. 122)
Inequivalent atoms, fractional coordinates:
Zr 0.1910 0.2500 0.1250  2 Co 2.48
In 0.0000 0.0000 0.5000  2 Co 2.90, 8 Zr 3.08-3.21
Co 0.0000 0.0000 0.0000  4 Zr 2.48



[3]
Entry from Alexandria via LeMat-Bulk: an optimized crystal structure of K2PPbO4 (PBE-GGA).

Values from the calculation:
total moment	2.023	μB per cell
E	-5.669	eV per atom
E_form (uncorrected)	-1.78	eV/atom

Unit cell a=6.5629 b=6.5629 c=6.9854 alpha=90.00 beta=90.00 gamma=90.00
Last column: nearest neighbours and their distance in Å.
Space group I-4 (No. 82)
Inequivalent atoms, fractional coordinates:
K 0.0000 0.0000 0.0000  4 O 2.73
K 0.0000 0.5000 0.2500  4 O 2.86
P 0.0000 0.5000 0.7500  4 O 1.57
Pb 0.0000 0.0000 0.5000  4 O 2.62
O 0.1292 0.6434 0.6171  1 P 1.57



Mass density for the records above, in order: 5.15 7.20 4.20 g/cm3